A relaxed structure of Zr5Se4. Source: the Alexandria database, functional GGA-PBE.

Summary:
- Total energy: -129.84 eV per cell
- Symmetry: P6_3/mcm, No. 193
- Density of states at the Fermi level: 5.32 states/eV/f.u.
- Total moment: 0.00 μB/cell
- Formation energy from raw total energies: -0.9158 eV per atom

Cell: 7.848 7.848 6.801 Å, 90.00 90.00 120.00°
Element x y z (fractional)
Zr 0.000 0.259 0.250
Zr 0.000 0.741 0.750
Zr 0.259 0.000 0.250
Zr 0.259 0.259 0.750
Zr 0.333 0.667 0.000
Zr 0.333 0.667 0.500
Zr 0.667 0.333 0.000
Zr 0.667 0.333 0.500
Zr 0.741 0.000 0.750
Zr 0.741 0.741 0.250
Se 0.000 0.000 0.000
Se 0.000 0.000 0.500
Se 0.000 0.405 0.750
Se 0.000 0.595 0.250
Se 0.405 0.000 0.750
Se 0.405 0.405 0.250
Se 0.595 0.000 0.250
Se 0.595 0.595 0.750

***

A relaxed structure of Zr2Se. Source: the Alexandria database, functional GGA-PBE.

Summary:
- Total energy: -90.44 eV per cell
- Symmetry: Pa-3, No. 205
- Density of states at the Fermi level: 1.59 states/eV/f.u.
- Total moment: 0.00 μB/cell
- Formation energy from raw total energies: -0.6760 eV per atom

Cell: 6.440 6.440 6.440 Å, 90.00 90.00 90.00°
Element x y z (fractional)
Zr 0.141 0.141 0.141
Zr 0.141 0.359 0.641
Zr 0.359 0.641 0.141
Zr 0.359 0.859 0.641
Zr 0.641 0.141 0.359
Zr 0.641 0.359 0.859
Zr 0.859 0.641 0.359
Zr 0.859 0.859 0.859
Se 0.000 0.000 0.500
Se 0.000 0.500 0.000
Se 0.500 0.000 0.000
Se 0.500 0.500 0.500

***

A relaxed structure of ZrSe3. Source: the Alexandria database, functional GGA-PBE.

Summary:
- Total energy: -21.27 eV per cell
- Symmetry: P4/mmm, No. 123
- Density of states at the Fermi level: 1.73 states/eV/f.u.
- Total moment: 0.00 μB/cell
- Formation energy from raw total energies: -0.5672 eV per atom

Cell: 3.540 3.540 6.536 Å, 90.00 90.00 90.00°
Element x y z (fractional)
Zr 0.000 0.000 0.000
Se 0.000 0.000 0.500
Se 0.500 0.500 0.214
Se 0.500 0.500 0.786

***

A relaxed structure of ZrSe. Source: the Alexandria database, functional GGA-PBE.

Summary:
- Total energy: -27.41 eV per cell
- Symmetry: R-3m, No. 166
- Density of states at the Fermi level: 2.07 states/eV/f.u.
- Total moment: 0.40 μB/cell
- Formation energy from raw total energies: -0.8354 eV per atom

Cell: 9.138 9.138 9.138 Å, 22.98 22.98 22.98°
Element x y z (fractional)
Zr 0.119 0.119 0.119
Zr 0.881 0.881 0.881
Se 0.392 0.392 0.392
Se 0.608 0.608 0.608

***

Which formula does entry 2 have?
Zr2Se